Here is a geometry-optimized ThMg2ScPd4 structure from the Alexandria database. Energies are from PBE.

DOS(E_F) = 18.709 states/eV per cell
Total energy = -5.485 eV/atom
DFT formation energy = -6.17 eV/f.u.

CIF file:
```
data_ThMg2ScPd4
_cell_length_a 4.5959
_cell_length_b 4.5959
_cell_length_c 25.2158
_cell_angle_alpha 90.00
_cell_angle_beta 90.00
_cell_angle_gamma 120.00
_symmetry_space_group_name_H-M 'R -3 m'
_symmetry_Int_Tables_number 166
_symmetry_space_group_name_Hall '-R 3 2"'
loop_
_atom_site_label
_atom_site_type_symbol
_atom_site_fract_x
_atom_site_fract_y
_atom_site_fract_z
Th1 Th 0.0000 0.0000 0.0000
Mg1 Mg 0.0000 0.0000 0.2397
Sc1 Sc 0.0000 0.0000 0.5000
Pd1 Pd 0.0000 0.0000 0.1242
Pd2 Pd 0.0000 0.0000 0.3917
```